[1]
HfMg2P2, optimized geometry, DFT GGA-PBE; magnetization = 0.000 μB/f.u.; SG = P4/mbm; formation energy = -0.59 eV/atom
1.0
6.945 0.000 0.000
0.000 6.945 0.000
0.000 0.000 3.766
P Mg Hf
4 4 2
direct
0.342 0.842 0.000
0.842 0.658 0.000
0.658 0.158 0.000
0.158 0.342 0.000
0.153 0.653 0.500
0.653 0.847 0.500
0.847 0.347 0.500
0.347 0.153 0.500
0.000 0.000 0.000
0.500 0.500 0.000

[2]
Hf2MgP, optimized geometry, DFT GGA-PBE; magnetization = 0.000 μB/f.u.; SG = I-42d; formation energy = -0.16 eV/atom
1.0
7.549 0.000 0.000
0.000 7.549 0.000
3.775 3.775 2.874
P Mg Hf
2 2 4
direct
0.000 0.000 0.000
0.750 0.250 0.500
0.500 0.500 0.000
0.250 0.750 0.500
0.668 0.125 0.250
0.082 0.625 0.250
0.375 0.332 0.750
0.875 0.918 0.750

[3]
HfMgP2, optimized geometry, DFT GGA-PBE; magnetization = 0.000 μB/f.u.; SG = I-42d; formation energy = -0.61 eV/atom
1.0
5.920 0.000 0.000
0.000 5.920 0.000
2.960 2.960 5.787
P Mg Hf
4 2 2
direct
0.636 0.125 0.250
0.114 0.625 0.250
0.375 0.364 0.750
0.875 0.886 0.750
0.500 0.500 0.000
0.250 0.750 0.500
0.000 0.000 0.000
0.750 0.250 0.500

[4]
Hf3MgP4, optimized geometry, DFT GGA-PBE; magnetization = 0.000 μB/f.u.; SG = P2/c; formation energy = -1.08 eV/atom
1.0
6.419 0.048 0.000
-2.204 6.080 0.000
0.000 0.000 7.441
P Mg Hf
8 2 6
direct
0.997 0.249 0.629
0.503 0.251 0.872
0.497 0.249 0.371
0.003 0.251 0.128
0.997 0.749 0.872
0.503 0.751 0.629
0.497 0.749 0.128
0.003 0.751 0.371
0.750 0.000 0.885
0.250 0.000 0.115
0.750 0.000 0.380
0.250 0.000 0.620
0.750 0.500 0.620
0.750 0.500 0.127
0.250 0.500 0.380
0.250 0.500 0.873

[5]
Hf2MgP, optimized geometry, DFT GGA-PBE; magnetization = 0.000 μB/f.u.; SG = R-3m; formation energy = -0.21 eV/atom
1.0
3.457 0.000 0.000
1.728 2.994 0.000
1.728 0.998 9.126
P Mg Hf
1 1 2
direct
0.500 0.500 0.500
0.000 0.000 0.000
0.112 0.112 0.665
0.888 0.888 0.335

[6]
HfMg2P, optimized geometry, DFT GGA-PBE; magnetization = 0.000 μB/f.u.; SG = I-42d; formation energy = -0.11 eV/atom
1.0
8.018 0.000 0.000
0.000 8.018 0.000
4.009 4.009 2.597
P Mg Hf
2 4 2
direct
0.500 0.500 0.000
0.250 0.750 0.500
0.559 0.125 0.250
0.191 0.625 0.250
0.375 0.441 0.750
0.875 0.809 0.750
0.000 0.000 0.000
0.750 0.250 0.500

[7]
Hf2MgP, optimized geometry, DFT GGA-PBE; magnetization = 0.000 μB/f.u.; SG = R3m; formation energy = -0.51 eV/atom
1.0
-2.784 2.063 -0.655
-1.960 -0.548 -2.880
-6.228 -4.463 2.934
Hf Mg P
2 1 1
direct
0.062 0.062 0.814
0.271 0.271 0.186
0.500 0.500 0.500
0.667 0.667 0.999

[8]
Pm2HfMgP4, optimized geometry, DFT GGA-PBE; magnetization = 0.000 μB/f.u.; SG = P2/m; formation energy = -1.18 eV/atom
1.0
3.955 0.000 0.000
0.000 6.903 0.111
0.000 -2.420 6.323
Pm Hf Mg P
2 1 1 4
direct
0.500 0.000 0.500
0.000 0.500 0.500
0.000 0.000 0.000
0.500 0.500 0.000
0.500 0.235 0.226
0.500 0.765 0.774
0.000 0.252 0.776
0.000 0.748 0.224

[9]
HfMgPPt2, optimized geometry, DFT GGA-PBE; magnetization = 0.000 μB/f.u.; SG = P4/mmm; formation energy = -0.25 eV/atom
1.0
4.571 0.000 0.000
0.000 4.707 0.000
0.000 0.000 4.571
P Mg Hf Pt
1 1 1 2
direct
0.000 0.000 0.000
0.500 0.500 0.500
0.000 0.500 0.000
0.000 0.000 0.500
0.500 0.000 0.000

[10]
RbHfMgP2, optimized geometry, DFT GGA-PBE; magnetization = 0.573 μB/f.u.; SG = P4/mmm; formation energy = 0.41 eV/atom
1.0
-4.494 -2.085 0.818
2.202 -5.815 -2.722
1.537 -1.537 4.526
P Mg Hf Rb
2 1 1 1
direct
0.000 0.000 0.500
0.500 0.000 0.000
0.500 0.500 0.500
0.000 0.000 0.000
0.000 0.500 0.000

[11]
HfMgSc2P4, optimized geometry, DFT GGA-PBE; magnetization = 0.000 μB/f.u.; SG = P2/m; formation energy = -1.18 eV/atom
1.0
3.751 0.000 0.000
0.000 6.521 0.115
0.000 -2.278 6.075
Hf Mg Sc P
1 1 2 4
direct
0.000 0.000 0.000
0.500 0.500 0.000
0.500 0.000 0.500
0.000 0.500 0.500
0.500 0.246 0.249
0.500 0.754 0.751
0.000 0.247 0.751
0.000 0.753 0.249

[12]
Tb2HfMgP4, optimized geometry, DFT GGA-PBE; magnetization = 0.000 μB/f.u.; SG = P2/m; formation energy = -1.22 eV/atom
1.0
3.897 0.000 0.000
0.000 6.793 0.115
0.000 -2.377 6.258
Tb Hf Mg P
2 1 1 4
direct
0.500 0.000 0.500
0.000 0.500 0.500
0.000 0.000 0.000
0.500 0.500 0.000
0.500 0.239 0.232
0.500 0.761 0.768
0.000 0.250 0.769
0.000 0.750 0.231

[13]
HfMgTc2P, optimized geometry, DFT GGA-PBE; magnetization = 0.000 μB/f.u.; SG = P4/mmm; formation energy = 0.13 eV/atom
1.0
-1.802 -2.717 -2.994
0.270 -3.613 3.117
-4.036 1.006 1.516
P Mg Hf Tc
1 1 1 2
direct
0.000 0.000 0.000
0.500 0.500 0.500
0.000 0.500 0.000
0.000 0.000 0.500
0.500 0.000 0.000